Here is a relaxed Pm15Y4Al crystal from Alexandria via LeMat-Bulk. Energies are from GGA-PBE.

- ΔH_f (0 K): -0.01 eV/atom
- Space group: P4/mmm, No. 123
- E_tot: -5.06 eV/atom

CIF file:
```
data_Pm15Y4Al
_chemical_formula_sum 'Pm15 Y4 Al1'
_symmetry_space_group_name_H-M 'P 1'
_symmetry_Int_Tables_number 1
_cell_length_a 5.067
_cell_length_b 5.067
_cell_length_c 25.603
_cell_angle_alpha 90.00
_cell_angle_beta 90.00
_cell_angle_gamma 90.00
loop_
_symmetry_equiv_pos_as_xyz
'x,y,z'
loop_
_atom_site_label
_atom_site_fract_x
_atom_site_fract_y
_atom_site_fract_z
Pm1 0.000 0.000 0.000
Pm2 0.000 0.000 0.195
Pm3 0.000 0.000 0.398
Pm4 0.000 0.000 0.602
Pm5 0.000 0.000 0.805
Pm6 0.000 0.500 0.093
Pm7 0.000 0.500 0.297
Pm8 0.000 0.500 0.500
Pm9 0.000 0.500 0.703
Pm10 0.000 0.500 0.907
Pm11 0.500 0.000 0.093
Pm12 0.500 0.000 0.297
Pm13 0.500 0.000 0.500
Pm14 0.500 0.000 0.703
Pm15 0.500 0.000 0.907
Y1 0.500 0.500 0.196
Y2 0.500 0.500 0.399
Y3 0.500 0.500 0.601
Y4 0.500 0.500 0.804
Al1 0.500 0.500 0.000
```

***

Here is a relaxed ZnCrMo2 crystal from Alexandria via LeMat-Bulk. Energies are from GGA-PBE.

- ΔH_f (0 K): 0.28 eV/atom
- Space group: I4/mmm, No. 139
- E_tot: -7.86 eV/atom

CIF file:
```
data_ZnCrMo2
_chemical_formula_sum 'Zn1 Cr1 Mo2'
_symmetry_space_group_name_H-M 'P 1'
_symmetry_Int_Tables_number 1
_cell_length_a 4.552
_cell_length_b 4.552
_cell_length_c 4.552
_cell_angle_alpha 127.58
_cell_angle_beta 127.58
_cell_angle_gamma 77.30
loop_
_symmetry_equiv_pos_as_xyz
'x,y,z'
loop_
_atom_site_label
_atom_site_fract_x
_atom_site_fract_y
_atom_site_fract_z
Zn1 0.000 0.000 0.000
Cr1 0.500 0.500 0.000
Mo1 0.250 0.750 0.500
Mo2 0.750 0.250 0.500
```

***

Here is a relaxed SrCrC2 crystal from Alexandria via LeMat-Bulk. Energies are from GGA-PBE.

- ΔH_f (0 K): 1.88 eV/atom
- Space group: Fm-3m, No. 225
- E_tot: -5.56 eV/atom

CIF file:
```
data_SrCrC2
_chemical_formula_sum 'Sr1 Cr1 C2'
_symmetry_space_group_name_H-M 'P 1'
_symmetry_Int_Tables_number 1
_cell_length_a 4.155
_cell_length_b 4.155
_cell_length_c 4.155
_cell_angle_alpha 60.00
_cell_angle_beta 60.00
_cell_angle_gamma 60.00
loop_
_symmetry_equiv_pos_as_xyz
'x,y,z'
loop_
_atom_site_label
_atom_site_fract_x
_atom_site_fract_y
_atom_site_fract_z
Sr1 0.000 0.000 0.000
Cr1 0.500 0.500 0.500
C1 0.250 0.250 0.250
C2 0.750 0.750 0.750
```

***

Here is a relaxed Ac6Ir2RhAu3 crystal from Alexandria via LeMat-Bulk. Energies are from GGA-PBE.

- ΔH_f (0 K): -0.77 eV/atom
- Space group: C2/m, No. 12
- E_tot: -5.73 eV/atom

CIF file:
```
data_Ac6Ir2RhAu3
_chemical_formula_sum 'Ac6 Ir2 Rh1 Au3'
_symmetry_space_group_name_H-M 'P 1'
_symmetry_Int_Tables_number 1
_cell_length_a 7.574
_cell_length_b 7.574
_cell_length_c 7.902
_cell_angle_alpha 99.23
_cell_angle_beta 99.23
_cell_angle_gamma 119.88
loop_
_symmetry_equiv_pos_as_xyz
'x,y,z'
loop_
_atom_site_label
_atom_site_fract_x
_atom_site_fract_y
_atom_site_fract_z
Ac1 0.092 0.427 0.781
Ac2 0.239 0.239 0.220
Ac3 0.427 0.092 0.781
Ac4 0.573 0.908 0.219
Ac5 0.761 0.761 0.780
Ac6 0.908 0.573 0.219
Ir1 0.167 0.833 0.000
Ir2 0.833 0.167 0.000
Rh1 0.500 0.500 0.000
Au1 0.000 0.000 0.500
Au2 0.334 0.666 0.500
Au3 0.666 0.334 0.500
```

***

Here is a relaxed OsPb crystal from Alexandria via LeMat-Bulk. Energies are from GGA-PBE.

- ΔH_f (0 K): 1.29 eV/atom
- Space group: Cmmm, No. 65
- E_tot: -6.18 eV/atom

CIF file:
```
data_OsPb
_chemical_formula_sum 'Os1 Pb1'
_symmetry_space_group_name_H-M 'P 1'
_symmetry_Int_Tables_number 1
_cell_length_a 3.170
_cell_length_b 3.170
_cell_length_c 4.478
_cell_angle_alpha 90.00
_cell_angle_beta 90.00
_cell_angle_gamma 117.99
loop_
_symmetry_equiv_pos_as_xyz
'x,y,z'
loop_
_atom_site_label
_atom_site_fract_x
_atom_site_fract_y
_atom_site_fract_z
Os1 0.000 0.000 0.000
Pb1 0.500 0.500 0.500
```

***

Here is a relaxed BeHgAs crystal from Alexandria via LeMat-Bulk. Energies are from GGA-PBE.

- ΔH_f (0 K): 0.15 eV/atom
- Space group: P3m1, No. 156
- E_tot: -2.74 eV/atom

CIF file:
```
data_BeHgAs
_chemical_formula_sum 'Be1 Hg1 As1'
_symmetry_space_group_name_H-M 'P 1'
_symmetry_Int_Tables_number 1
_cell_length_a 3.833
_cell_length_b 3.833
_cell_length_c 4.680
_cell_angle_alpha 90.00
_cell_angle_beta 90.00
_cell_angle_gamma 120.00
loop_
_symmetry_equiv_pos_as_xyz
'x,y,z'
loop_
_atom_site_label
_atom_site_fract_x
_atom_site_fract_y
_atom_site_fract_z
Be1 0.000 0.000 0.000
Hg1 0.667 0.333 0.501
As1 0.333 0.667 0.001
```